[1]
Rb2LaCuSi: optimized geometry, PBE.

Results
* Fermi-level density of states: 3.4 states/eV/cell
* uncorrected energy: -0.08488 hartree per atom
* formation energy without anion corrections: 0.97 eV per atom
* space-group type: P4/mmm (123)

POSCAR file:
```
Rb2LaCuSi
1.0
7.710 0.000 0.000
0.000 7.710 0.000
0.000 0.000 5.312
Rb La Cu Si
2 1 1 1
direct
0.000 0.500 0.000
0.500 0.000 0.000
0.000 0.000 0.000
0.500 0.500 0.500
0.000 0.000 0.500
```

[2]
Rb2SrLaCu: optimized geometry, PBE.

Results
* Fermi-level density of states: 8.1 states/eV/cell
* formation energy: 0.45 eV/atom
* uncorrected energy: -0.07653 hartree per atom
* space-group type: P4/mmm (123)

POSCAR file:
```
Rb2SrLaCu
1.0
6.703 0.000 0.000
0.000 6.703 0.000
0.000 0.000 5.782
Rb Sr La Cu
2 1 1 1
direct
0.000 0.500 0.000
0.500 0.000 0.000
0.000 0.000 0.500
0.500 0.500 0.500
0.500 0.500 0.000
```

[3]
RbLaTa2Cu: optimized geometry, PBE.

Results
* Fermi-level density of states: 5.3 states/eV/cell
* formation energy: 1.37 eV/atom
* uncorrected energy: -0.19741 hartree per atom
* space-group type: P4/mmm (123)

POSCAR file:
```
RbLaTa2Cu
1.0
4.878 0.000 0.000
0.000 4.878 0.000
0.000 0.000 5.655
Rb La Ta Cu
1 1 2 1
direct
0.000 0.000 0.000
0.500 0.500 0.000
0.000 0.500 0.500
0.500 0.000 0.500
0.000 0.000 0.500
```

[4]
Rb2LaCu2Te4: optimized geometry, PBE.

Results
* Fermi-level density of states: 6.1 states/eV/cell
* uncorrected energy: -0.14444 hartree per atom
* formation energy without anion corrections: -0.86 eV per atom
* space-group type: C2/m (12)

POSCAR file:
```
Rb2LaCu2Te4
1.0
8.266 -2.207 0.000
8.266 2.207 0.000
-2.902 0.000 8.365
Rb La Cu Te
2 1 2 4
direct
0.133 0.133 0.053
0.867 0.867 0.947
0.000 0.000 0.500
0.322 0.322 0.513
0.678 0.678 0.487
0.206 0.206 0.668
0.474 0.474 0.740
0.526 0.526 0.260
0.794 0.794 0.332
```

[5]
LaCu3Re: optimized geometry, PBE.

Results
* Fermi-level density of states: 5.2 states/eV/cell
* formation energy: 0.59 eV/atom
* uncorrected energy: -0.19649 hartree per atom
* space-group type: Pm-3m (221)

POSCAR file:
```
LaCu3Re
1.0
4.713 0.000 0.000
0.000 4.713 0.000
0.000 0.000 4.713
La Cu Re
1 3 1
direct
0.000 0.000 0.000
0.000 0.500 0.500
0.500 0.000 0.500
0.500 0.500 0.000
0.500 0.500 0.500
```

[6]
LaCu3Re: optimized geometry, PBE.

Results
* Fermi-level density of states: 5.1 states/eV/cell
* formation energy: 2.10 eV/atom
* uncorrected energy: -0.14067 hartree per atom
* space-group type: Pm-3m (221)

POSCAR file:
```
LaCu3Re
1.0
4.938 0.000 0.000
0.000 4.938 0.000
0.000 0.000 4.938
La Cu Re
1 3 1
direct
0.000 0.000 0.000
0.000 0.000 0.500
0.000 0.500 0.000
0.500 0.000 0.000
0.500 0.500 0.500
```

[7]
LaCuRe4: optimized geometry, PBE.

Results
* Fermi-level density of states: 4.9 states/eV/cell
* formation energy: 0.47 eV/atom
* uncorrected energy: -0.34295 hartree per atom
* space-group type: F-43m (216)

POSCAR file:
```
LaCuRe4
1.0
0.000 3.801 3.801
3.801 0.000 3.801
3.801 3.801 0.000
La Cu Re
1 1 4
direct
0.000 0.000 0.000
0.250 0.250 0.250
0.128 0.624 0.624
0.624 0.128 0.624
0.624 0.624 0.128
0.624 0.624 0.624
```

[8]
La3CuRe: optimized geometry, PBE.

Results
* Fermi-level density of states: 9.0 states/eV/cell
* formation energy: 0.95 eV/atom
* uncorrected energy: -0.19548 hartree per atom
* space-group type: Pm-3m (221)

POSCAR file:
```
La3CuRe
1.0
5.362 0.000 0.000
0.000 5.362 0.000
0.000 0.000 5.362
La Cu Re
3 1 1
direct
0.000 0.000 0.500
0.000 0.500 0.000
0.500 0.000 0.000
0.000 0.000 0.000
0.500 0.500 0.500
```

[9]
La2CuReRu: optimized geometry, PBE.

Results
* Fermi-level density of states: 4.7 states/eV/cell
* formation energy: 0.92 eV/atom
* uncorrected energy: -0.22840 hartree per atom
* space-group type: P4/mmm (123)

POSCAR file:
```
La2CuReRu
1.0
5.409 0.000 0.000
0.000 5.409 0.000
0.000 0.000 4.659
La Cu Re Ru
2 1 1 1
direct
0.000 0.500 0.000
0.500 0.000 0.000
0.000 0.000 0.500
0.000 0.000 0.000
0.500 0.500 0.500
```

[10]
La2CuReRu: optimized geometry, PBE.

Results
* Fermi-level density of states: 5.7 states/eV/cell
* formation energy: 0.60 eV/atom
* uncorrected energy: -0.24017 hartree per atom
* space-group type: P4/mmm (123)

POSCAR file:
```
La2CuReRu
1.0
5.524 0.000 0.000
0.000 5.524 0.000
0.000 0.000 4.641
La Cu Re Ru
2 1 1 1
direct
0.000 0.500 0.000
0.500 0.000 0.000
0.000 0.000 0.500
0.500 0.500 0.500
0.500 0.500 0.000
```

[11]
LaCuRe2Se: optimized geometry, PBE.

Results
* Fermi-level density of states: 4.6 states/eV/cell
* uncorrected energy: -0.24491 hartree per atom
* formation energy without anion corrections: 0.82 eV per atom
* space-group type: P4/mmm (123)

POSCAR file:
```
LaCuRe2Se
1.0
4.691 0.000 0.000
0.000 4.691 0.000
0.000 0.000 4.677
La Cu Re Se
1 1 2 1
direct
0.000 0.000 0.000
0.500 0.500 0.000
0.000 0.500 0.500
0.500 0.000 0.500
0.500 0.500 0.500
```

[12]
LaCuRe2W: optimized geometry, PBE.

Results
* Fermi-level density of states: 9.7 states/eV/cell
* formation energy: 1.94 eV/atom
* uncorrected energy: -0.27307 hartree per atom
* space-group type: P4/mmm (123)

POSCAR file:
```
LaCuRe2W
1.0
4.578 0.000 0.000
0.000 4.578 0.000
0.000 0.000 4.913
La Cu Re W
1 1 2 1
direct
0.000 0.000 0.000
0.000 0.000 0.500
0.000 0.500 0.500
0.500 0.000 0.500
0.500 0.500 0.000
```

Number 1: spin magnetization 0.6 μB per formula unit. Number 2: spin magnetization 0.0 μB per formula unit. Number 3: spin magnetization 0.0 μB per formula unit. Number 4: spin magnetization 0.0 μB per formula unit. Number 5: spin magnetization 0.0 μB per formula unit. Number 6: spin magnetization 3.4 μB per formula unit. Number 7: spin magnetization 0.0 μB per formula unit. Number 8: spin magnetization 0.9 μB per formula unit. Number 9: spin magnetization 2.0 μB per formula unit. Number 10: spin magnetization 0.0 μB per formula unit. Number 11: spin magnetization 0.1 μB per formula unit. Number 12: spin magnetization 1.2 μB per formula unit.